Entry 1:
A plane-wave DFT calculation with GGA-PBE was carried out for an optimized crystal structure of Sm4BiIr.

Computed properties:
As for the energy relative to the lowest polymorph listed for this composition: 0 meV/atom. The total DFT energy (no corrections) is -141.4 eV for the cell shown. The total moment is 0.0 μB per cell. As for the mass density: 9.61 Mg/m³.

a b c (Å): 8.347 4.199 19.780
angles (deg): 90.00 90.00 90.00
Space group Pnma (No. 62)
Unique sites:
1 Sm 0.008 0.250 0.067 x4
2 Sm 0.031 0.250 0.785 x4
3 Sm 0.138 0.250 0.551 x4
4 Sm 0.151 0.250 0.358 x4
5 Bi 0.230 0.750 0.690 x4
6 Ir 0.250 0.250 0.953 x4



Entry 2:
A plane-wave DFT calculation with GGA-PBE was carried out for an optimized crystal structure of Sm6BiIr.

Computed properties:
The total DFT energy (no corrections) is -129.0 eV for the cell shown. The total moment is 0.0 μB per cell. As for the mass density: 7.47 Mg/m³.

a b c (Å): 6.9697 6.9697 20.6603
angles (deg): 90.00 90.00 120.00
Space group R-3 (No. 148, hexagonal axes)
Unique sites:
1 Sm 0.0099 0.3654 0.4083 x18
2 Bi 0.0000 0.0000 0.5000 x3
3 Ir 0.0000 0.0000 0.0000 x3



Entry 3:
A plane-wave DFT calculation with GGA-PBE was carried out for an optimized crystal structure of Sm8BiIr2.

Computed properties:
The total DFT energy (no corrections) is -128.0 eV for the cell shown. The total moment is 0.0 μB per cell. As for the mass density: 9.02 Mg/m³.

a b c (Å): 8.784 13.525 5.711
angles (deg): 90.00 103.00 90.00
Space group C2/m (No. 12)
Unique sites:
1 Sm 0.000 0.250 0.000 x4
2 Sm 0.105 0.000 0.796 x4
3 Sm 0.203 0.371 0.579 x8
4 Bi 0.000 0.500 0.000 x2
5 Ir 0.000 0.196 0.500 x4



Entry 4:
A plane-wave DFT calculation with GGA-PBE was carried out for an optimized crystal structure of Sm7Bi2Ir2.

Computed properties:
The total DFT energy (no corrections) is -130.7 eV for the cell shown. The total moment is 0.0 μB per cell. As for the mass density: 9.46 Mg/m³.

a b c (Å): 3.986 16.510 9.896
angles (deg): 90.00 90.00 90.00
Space group Imm2 (No. 44)
Unique sites:
1 Sm 0.000 0.000 0.000 x2
2 Sm 0.000 0.129 0.578 x4
3 Sm 0.000 0.316 0.376 x4
4 Sm 0.000 0.348 0.728 x4
5 Bi 0.000 0.000 0.329 x2
6 Bi 0.000 0.500 0.241 x2
7 Ir 0.000 0.240 0.069 x4



Entry 5:
A plane-wave DFT calculation with GGA-PBE was carried out for an optimized crystal structure of Sm3Bi2Ir.

Computed properties:
The total DFT energy (no corrections) is -138.9 eV for the cell shown. The total moment is 0.0 μB per cell. As for the mass density: 9.64 Mg/m³.

a b c (Å): 7.835 12.986 7.575
angles (deg): 90.00 108.50 90.00
Space group C2/c (No. 15)
Unique sites:
1 Sm 0.206 0.069 0.483 x8
2 Sm 0.250 0.250 0.000 x4
3 Bi 0.000 0.267 0.250 x4
4 Bi 0.000 0.420 0.750 x4
5 Ir 0.000 0.092 0.750 x4



Entry 6:
A plane-wave DFT calculation with GGA-PBE was carried out for an optimized crystal structure of Sm5Bi5Ir.

Computed properties:
The total DFT energy (no corrections) is -115.9 eV for the cell shown. The total moment is 0.0 μB per cell. As for the mass density: 8.95 Mg/m³.

a b c (Å): 13.575 6.301 9.869
angles (deg): 90.00 119.06 90.00
Space group C2/m (No. 12)
Unique sites:
1 Sm 0.000 0.000 0.000 x2
2 Sm 0.148 0.500 0.878 x4
3 Sm 0.184 0.500 0.297 x4
4 Bi 0.000 0.500 0.500 x2
5 Bi 0.112 0.000 0.779 x4
6 Bi 0.223 0.000 0.336 x4
7 Ir 0.000 0.500 0.000 x2



Entry 7:
A plane-wave DFT calculation with GGA-PBE was carried out for an optimized crystal structure of Sm6BiTe3Ir2.

Computed properties:
The total DFT energy (no corrections) is -144.5 eV for the cell shown. The total moment is 0.0 μB per cell. As for the mass density: 8.69 Mg/m³. For the raw formation energy, the calculation gives -1077 meV per atom.

a b c (Å): 19.346 4.307 8.957
angles (deg): 90.00 105.84 90.00
Space group C2/m (No. 12)
Unique sites:
1 Sm 0.019 0.000 0.261 x4
2 Sm 0.172 0.500 0.126 x4
3 Sm 0.177 0.500 0.565 x4
4 Bi 0.000 0.500 0.000 x2
5 Te 0.000 0.500 0.500 x2
6 Te 0.159 0.000 0.839 x4
7 Ir 0.170 0.000 0.341 x4



Entry 8:
A plane-wave DFT calculation with GGA-PBE was carried out for an optimized crystal structure of SnBi2Ir.

Computed properties:
The total DFT energy (no corrections) is -76.6 eV for the cell shown. The total moment is 0.0 μB per cell. As for the mass density: 8.63 Mg/m³.

a b c (Å): 6.497 6.497 13.283
angles (deg): 90.00 90.00 90.00
Space group I-42d (No. 122)
Unique sites:
1 Sn 0.000 0.000 0.000 x4
2 Bi 0.197 0.250 0.625 x8
3 Ir 0.000 0.000 0.500 x4